# Pm3TmCo | Alexandria | PBE | optimized geometry
data_Pm3TmCo
_cell_length_a 5.3865
_cell_length_b 5.3865
_cell_length_c 5.3865
_cell_angle_alpha 90.00
_cell_angle_beta 90.00
_cell_angle_gamma 90.00
_symmetry_space_group_name_H-M 'P 1'
_symmetry_Int_Tables_number 1
loop_
_symmetry_equiv_pos_as_xyz
'x,y,z'
loop_
_atom_site_label
_atom_site_type_symbol
_atom_site_fract_x
_atom_site_fract_y
_atom_site_fract_z
Pm1 Pm 0.0000 0.0000 0.5000
Pm2 Pm 0.0000 0.5000 0.0000
Pm3 Pm 0.5000 0.0000 0.0000
Tm1 Tm 0.5000 0.5000 0.5000
Co1 Co 0.0000 0.0000 0.0000
# DFT formation energy: 0.1002 eV/atom
# Calculated volume: 156 Å³ per cell
# E above lowest polymorph: 100 meV/atom
# DOS(E_F): 1.920 states/eV per atom
# Total magnetic moment: 0.10 μB per atom